La2TbRhO6 after structural relaxation. Source: Alexandria via LeMat-Bulk, functional PBE-GGA.

The formation energy without anion corrections comes out at -267 kJ/mol of atoms. Its density is 7.46 g cm⁻³.

The space group is P2_1/c (No. 14) and the conventional cell measures 5.750, 5.977 and 9.934 Å, with angles of 90.00, 123.97 and 90.00 degrees. The asymmetric unit holds La at (0.230, 0.056, 0.249), Tb at (0.500, 0.000, 0.000), Rh at (0.000, 0.000, 0.500), O at (0.127, 0.208, 0.940), O at (0.233, 0.695, 0.941) and O at (0.353, 0.044, 0.738).

LaTeRhO6 after structural relaxation. Source: Alexandria via LeMat-Bulk, functional PBE-GGA.

The formation energy without anion corrections comes out at -166 kJ/mol of atoms. As for the density of states at the Fermi level: 0.0 states/eV/cell. Its density is 6.10 g cm⁻³.

The space group is P-31c (No. 163) and the conventional cell measures 5.3038, 5.3038 and 10.4083 Å, with angles of 90.00, 90.00 and 120.00 degrees. The asymmetric unit holds La at (0.0000, 0.0000, 0.0000), Te at (0.3333, 0.6667, 0.2500), Rh at (0.3333, 0.6667, 0.7500) and O at (0.0112, 0.3697, 0.1445).

LaTlRhO6 after structural relaxation. Source: Alexandria via LeMat-Bulk, functional PBE-GGA.

The formation energy without anion corrections comes out at -122 kJ/mol of atoms. As for the density of states at the Fermi level: 5.3 states/eV/cell. Its density is 6.66 g cm⁻³.

The space group is P312 (No. 149) and the conventional cell measures 5.5799, 5.5799 and 5.0121 Å, with angles of 90.00, 90.00 and 120.00 degrees. The asymmetric unit holds La at (0.0000, 0.0000, 0.0000), Tl at (0.3333, 0.6667, 0.5000), Rh at (0.6667, 0.3333, 0.5000) and O at (0.3800, 0.0426, 0.7234).

La2TlRhO5 after structural relaxation. Source: Alexandria via LeMat-Bulk, functional PBE-GGA.

The formation energy without anion corrections comes out at -203 kJ/mol of atoms. As for the density of states at the Fermi level: 9.3 states/eV/cell. Its density is 7.57 g cm⁻³.

The space group is P4/mbm (No. 127) and the conventional cell measures 7.044, 7.044 and 5.881 Å, with angles of 90.00, 90.00 and 90.00 degrees. The asymmetric unit holds La at (0.180, 0.320, 0.000), Tl at (0.000, 0.000, 0.500), Rh at (0.000, 0.500, 0.500), O at (0.000, 0.000, 0.000) and O at (0.130, 0.630, 0.248).

Result set for total magnetic moment: 0.000, 0.000, 2.278, 2.006 μB/f.u., one per record in the order listed.